(1)
{"formula": "YTc2Cl", "functional": "PBEsol", "state": "optimized geometry", "dos_ef_per_ev_cell": 3.03, "relative_energy_ev_per_atom": 0.387, "space_group": "P2/m (10)", "dft_energy_ev_per_atom": -7.77, "cell": [[-2.2846, 2.0787, 0.2558], [-1.6412, -2.3160, 3.1892], [2.9005, 2.7577, 3.4952]], "species": ["Y", "Tc", "Tc", "Cl"], "fractional_positions": [[0.0000, 0.0000, 0.5000], [0.6826, 0.7529, 0.0000], [0.3174, 0.2471, 0.0000], [0.5000, 0.5000, 0.5000]]}

=====

(2)
{"formula": "ZnTc3Cl", "functional": "PBEsol", "state": "optimized geometry", "dos_ef_per_ev_cell": 7.75, "space_group": "Pm-3m (221)", "dft_energy_ev_per_atom": -5.26, "cell": [[-1.7148, -3.4769, -2.4197], [-2.1753, -1.5172, 3.7216], [-3.6348, 2.5483, -1.0857]], "species": ["Tc", "Tc", "Tc", "Cl", "Zn"], "fractional_positions": [[0.5000, 0.0000, 0.0000], [0.0000, 0.0000, 0.5000], [0.0000, 0.5000, 0.0000], [0.5000, 0.5000, 0.5000], [0.0000, 0.0000, 0.0000]]}

=====

(3)
{"formula": "ZnTcCl4", "functional": "PBEsol", "state": "optimized geometry", "dos_ef_per_ev_cell": 6.26, "space_group": "F-43m (216)", "dft_energy_ev_per_atom": -2.42, "cell": [[-3.7271, -2.2017, 3.6996], [-0.7148, -5.6410, 0.3051], [1.8635, -2.8638, 4.5554]], "species": ["Cl", "Cl", "Cl", "Cl", "Tc", "Zn"], "fractional_positions": [[0.3752, 0.8744, 0.3752], [0.3752, 0.3752, 0.8744], [0.3752, 0.3752, 0.3752], [0.8744, 0.3752, 0.3752], [0.7500, 0.7500, 0.7500], [0.0000, 0.0000, 0.0000]]}

=====

(4)
{"formula": "ZnTcCl", "functional": "PBEsol", "state": "optimized geometry", "dos_ef_per_ev_cell": 2.39, "relative_energy_ev_per_atom": 0.000, "space_group": "P3m1 (156)", "dft_energy_ev_per_atom": -4.79, "cell": [[-0.3548, -2.9146, 0.0778], [0.2986, 1.5104, 2.5012], [-6.0560, 0.7446, 0.2732]], "species": ["Tc", "Zn", "Cl"], "fractional_positions": [[0.6667, 0.3333, 0.6805], [0.3333, 0.6667, 0.3551], [0.0000, 0.0000, 0.9644]]}

=====

(5)
{"formula": "ZnTcCl", "functional": "PBEsol", "state": "optimized geometry", "dos_ef_per_ev_cell": 1.07, "relative_energy_ev_per_atom": 0.136, "space_group": "I4mm (107)", "dft_energy_ev_per_atom": -4.66, "cell": [[2.9032, 0.0000, 0.0000], [0.0000, 2.9032, 0.0000], [-1.4516, -1.4516, 5.7952]], "species": ["Zn", "Tc", "Cl"], "fractional_positions": [[0.3017, 0.3017, 0.6034], [0.6620, 0.6620, 0.3239], [0.0364, 0.0364, 0.0727]]}

=====

(6)
{"formula": "Zr2TcCl", "functional": "PBEsol", "state": "optimized geometry", "dos_ef_per_ev_cell": 2.05, "relative_energy_ev_per_atom": 0.564, "space_group": "I-4m2 (119)", "dft_energy_ev_per_atom": -7.92, "cell": [[3.7050, 0.0000, 0.0000], [0.0000, 3.7050, 0.0000], [-1.8525, -1.8525, 5.0883]], "species": ["Zr", "Zr", "Cl", "Tc"], "fractional_positions": [[0.7500, 0.2500, 0.5000], [0.0000, 0.0000, 0.0000], [0.5000, 0.5000, 0.0000], [0.2500, 0.7500, 0.5000]]}

=====

(7)
{"formula": "Zr2TcCl", "functional": "PBEsol", "state": "optimized geometry", "dos_ef_per_ev_cell": 2.24, "relative_energy_ev_per_atom": 0.000, "space_group": "C2/m (12)", "dft_energy_ev_per_atom": -8.49, "cell": [[3.2080, 0.0509, 0.0578], [0.3420, 3.1902, 0.0578], [1.6495, 1.5059, 7.8501]], "species": ["Tc", "Zr", "Zr", "Cl"], "fractional_positions": [[0.5000, 0.5000, 0.0000], [0.8875, 0.8875, 0.2057], [0.1125, 0.1125, 0.7943], [0.0000, 0.0000, 0.5000]]}

=====

(8)
{"formula": "ZrTc2Cl", "functional": "PBEsol", "state": "optimized geometry", "dos_ef_per_ev_cell": 3.47, "space_group": "Immm (71)", "dft_energy_ev_per_atom": -8.35, "cell": [[-1.1804, -1.9643, -1.8111], [3.0930, 0.8569, -2.9454], [1.7893, -2.8432, 4.2731]], "species": ["Tc", "Tc", "Cl", "Zr"], "fractional_positions": [[0.2761, 0.2761, 0.5522], [0.7239, 0.7239, 0.4478], [0.0000, 0.5000, 0.0000], [0.5000, 0.0000, 0.0000]]}